{"formula": "CePuCdHg", "functional": "PBE", "state": "relaxed", "cell": [[4.540, 0.000, 0.000], [0.000, 4.543, 0.000], [0.000, 0.000, 4.886]], "species": ["Ce", "Pu", "Cd", "Hg"], "frac_coords": [[0.500, 0.500, 0.000], [0.000, 0.000, 0.000], [0.000, 0.500, 0.500], [0.500, 0.000, 0.500]], "crystal_system": "orthorhombic", "spacegroup": "Pmmm, No. 47", "polymorph_energy_kj_per_mol_atoms": 0.0, "formation_energy_ev_per_atom": -0.166, "total_magnetization_mub_per_cell": 6.90}

---

{"formula": "CePuCdHg", "functional": "PBE", "state": "relaxed", "cell": [[5.370, 0.000, 0.000], [2.685, 4.650, 0.000], [2.685, 1.550, 4.384]], "species": ["Cd", "Hg", "Ce", "Pu"], "frac_coords": [[0.750, 0.750, 0.750], [0.250, 0.250, 0.250], [0.000, 0.000, 0.000], [0.500, 0.500, 0.500]], "crystal_system": "cubic", "spacegroup": "F-43m, No. 216", "polymorph_energy_kj_per_mol_atoms": 5.3, "formation_energy_ev_per_atom": -0.111, "total_magnetization_mub_per_cell": 7.22}

---

{"formula": "CeCdHgRh", "functional": "PBE", "state": "relaxed", "cell": [[-2.341, -4.262, -1.046], [1.222, -4.168, 2.424], [-3.157, -1.977, 3.296]], "species": ["Rh", "Hg", "Ce", "Cd"], "frac_coords": [[0.000, 0.000, 0.000], [0.500, 0.500, 0.500], [0.250, 0.250, 0.250], [0.750, 0.750, 0.750]], "crystal_system": "cubic", "spacegroup": "F-43m, No. 216", "formation_energy_ev_per_atom": -0.303, "total_magnetization_mub_per_cell": 0.31}

---

{"formula": "CeScCdHg", "functional": "PBE", "state": "relaxed", "cell": [[-2.376, -2.016, -4.199], [-4.643, -2.352, 0.501], [-4.303, 2.273, -1.913]], "species": ["Sc", "Hg", "Ce", "Cd"], "frac_coords": [[0.500, 0.500, 0.500], [0.250, 0.250, 0.250], [0.000, 0.000, 0.000], [0.750, 0.750, 0.750]], "crystal_system": "cubic", "spacegroup": "F-43m, No. 216", "formation_energy_ev_per_atom": -0.249, "total_magnetization_mub_per_cell": 1.62}

---

{"formula": "CeSc2CdHg4", "functional": "PBE", "state": "relaxed", "cell": [[4.938, 0.000, 0.000], [2.469, 4.277, 0.000], [2.469, 1.426, 9.083]], "species": ["Ce", "Sc", "Sc", "Cd", "Hg", "Hg", "Hg", "Hg"], "frac_coords": [[0.000, 0.000, 0.000], [0.761, 0.761, 0.716], [0.239, 0.239, 0.284], [0.500, 0.500, 0.500], [0.385, 0.385, 0.844], [0.876, 0.876, 0.370], [0.124, 0.124, 0.630], [0.615, 0.615, 0.156]], "crystal_system": "trigonal", "spacegroup": "R-3m, No. 166", "formation_energy_ev_per_atom": -0.283, "total_magnetization_mub_per_cell": 1.21}

---

{"formula": "CeCdSiHg", "functional": "PBE", "state": "relaxed", "cell": [[-3.026, 4.015, -0.539], [-1.291, 1.590, -4.623], [-4.740, -0.610, -1.651]], "species": ["Si", "Hg", "Ce", "Cd"], "frac_coords": [[0.750, 0.750, 0.750], [0.250, 0.250, 0.250], [0.000, 0.000, 0.000], [0.500, 0.500, 0.500]], "e_form_raw_ev_per_atom": -0.194, "crystal_system": "cubic", "spacegroup": "F-43m, No. 216", "total_magnetization_mub_per_cell": 0.53}

---

{"formula": "CeCdSnHg", "functional": "PBE", "state": "relaxed", "cell": [[5.260, 0.000, 0.000], [2.630, 4.555, 0.000], [2.630, 1.518, 4.295]], "species": ["Cd", "Hg", "Ce", "Sn"], "frac_coords": [[0.750, 0.750, 0.750], [0.500, 0.500, 0.500], [0.250, 0.250, 0.250], [0.000, 0.000, 0.000]], "crystal_system": "cubic", "spacegroup": "F-43m, No. 216", "polymorph_energy_kj_per_mol_atoms": 7.1, "formation_energy_ev_per_atom": -0.310, "total_magnetization_mub_per_cell": 0.92}

---

{"formula": "CeCdSnHg", "functional": "PBE", "state": "relaxed", "cell": [[4.475, 0.000, 0.000], [0.000, 4.646, 0.000], [0.000, 0.000, 4.955]], "species": ["Ce", "Cd", "Sn", "Hg"], "frac_coords": [[0.000, 0.500, 0.500], [0.000, 0.000, 0.000], [0.500, 0.000, 0.500], [0.500, 0.500, 0.000]], "crystal_system": "orthorhombic", "spacegroup": "Pmmm, No. 47", "polymorph_energy_kj_per_mol_atoms": 0.0, "formation_energy_ev_per_atom": -0.383, "total_magnetization_mub_per_cell": 0.88}

---

{"formula": "CeCd2SnHg", "functional": "PBE", "state": "relaxed", "cell": [[6.188, 0.000, 0.000], [0.000, 6.188, 0.000], [-3.094, -3.094, 7.567]], "species": ["Ce", "Ce", "Cd", "Cd", "Cd", "Cd", "Sn", "Sn", "Hg", "Hg"], "frac_coords": [[0.787, 0.787, 0.573], [0.287, 0.287, 0.573], [0.268, 0.768, 0.889], [0.768, 0.621, 0.889], [0.621, 0.121, 0.889], [0.121, 0.268, 0.889], [0.739, 0.239, 0.478], [0.239, 0.739, 0.478], [0.086, 0.086, 0.172], [0.586, 0.586, 0.172]], "crystal_system": "tetragonal", "spacegroup": "I4cm, No. 108", "formation_energy_ev_per_atom": -0.064, "total_magnetization_mub_per_cell": 0.69}

---

{"formula": "Ce2Cd2Sn3Hg4", "functional": "PBE", "state": "relaxed", "cell": [[-1.854, 4.682, 0.189], [0.250, -2.783, 4.194], [12.229, 4.745, 2.419]], "species": ["Ce", "Ce", "Cd", "Cd", "Sn", "Sn", "Sn", "Hg", "Hg", "Hg", "Hg"], "frac_coords": [[0.667, 0.333, 0.826], [0.333, 0.667, 0.174], [0.667, 0.333, 0.335], [0.333, 0.667, 0.665], [0.000, 0.000, 0.719], [0.000, 0.000, 0.000], [0.000, 0.000, 0.281], [0.667, 0.333, 0.082], [0.333, 0.667, 0.918], [0.667, 0.333, 0.557], [0.333, 0.667, 0.443]], "crystal_system": "trigonal", "spacegroup": "P-3m1, No. 164", "formation_energy_ev_per_atom": -0.227, "total_magnetization_mub_per_cell": 1.48}

---

{"formula": "TbCeCdHg", "functional": "PBE", "state": "relaxed", "cell": [[5.361, 0.000, 0.000], [2.680, 4.643, 0.000], [2.680, 1.548, 4.377]], "species": ["Tb", "Hg", "Ce", "Cd"], "frac_coords": [[0.500, 0.500, 0.500], [0.250, 0.250, 0.250], [0.000, 0.000, 0.000], [0.750, 0.750, 0.750]], "crystal_system": "cubic", "spacegroup": "F-43m, No. 216", "formation_energy_ev_per_atom": -0.287, "total_magnetization_mub_per_cell": 1.79}

---

{"formula": "TbCeCd2Hg4", "functional": "PBE", "state": "relaxed", "cell": [[-3.304, -2.908, 2.665], [1.583, -2.485, 4.218], [-2.647, 4.878, 7.006]], "species": ["Tb", "Ce", "Cd", "Cd", "Hg", "Hg", "Hg", "Hg"], "frac_coords": [[0.500, 0.500, 0.500], [0.000, 0.000, 0.000], [0.749, 0.749, 0.752], [0.251, 0.251, 0.248], [0.377, 0.377, 0.868], [0.873, 0.873, 0.382], [0.127, 0.127, 0.618], [0.623, 0.623, 0.132]], "crystal_system": "trigonal", "spacegroup": "R-3m, No. 166", "formation_energy_ev_per_atom": -0.362, "total_magnetization_mub_per_cell": 0.94}

---

Number 1: total DFT energy (no corrections) -22.15 eV/cell. Number 2: total DFT energy (no corrections) -21.93 eV/cell. Number 3: total DFT energy (no corrections) -15.71 eV/cell. Number 4: total DFT energy (no corrections) -14.48 eV/cell. Number 5: total DFT energy (no corrections) -22.98 eV/cell. Number 6: total DFT energy (no corrections) -13.35 eV/cell. Number 7: total DFT energy (no corrections) -12.39 eV/cell. Number 8: total DFT energy (no corrections) -12.69 eV/cell. Number 9: total DFT energy (no corrections) -24.78 eV/cell. Number 10: total DFT energy (no corrections) -29.41 eV/cell. Number 11: total DFT energy (no corrections) -12.93 eV/cell. Number 12: total DFT energy (no corrections) -16.50 eV/cell.